Hg3Se2Cl2, optimized geometry, DFT PBEsol; formation energy from raw total energies = -0.413 eV/atom
1.0
-6.727 -0.302 -4.010
2.148 -7.253 2.050
-0.993 4.350 6.443
Cl Hg Se
4 6 4
Cartesian
-3.546 -0.159 -2.114
-2.728 -1.800 2.297
-4.925 -5.294 1.140
1.047 -3.509 1.200
-0.185 -0.477 2.273
-1.527 -4.752 0.994
-4.498 -1.138 4.452
-0.497 -3.519 4.278
-6.071 2.572 1.704
-3.938 -2.302 -0.251
-0.352 -0.016 -0.210
-3.748 1.644 1.324
-2.991 0.740 5.229
0.525 -1.224 4.584

KSrMo, optimized geometry, DFT PBEsol; formation energy from the elements = 1466 meV per atom
1.0
-0.173 -2.824 0.575
2.458 -1.175 -5.038
3.242 0.750 4.662
K Mo Sr
1 1 1
Cartesian
-0.028 -0.460 0.094
2.865 -1.780 1.813
2.690 -1.009 -1.708

Zn2CuTc, optimized geometry, DFT PBEsol; formation energy from the elements = 10 meV per atom
1.0
3.587 0.000 0.000
0.000 3.797 0.000
0.000 0.000 3.797
Zn Tc Cu
2 1 1
Cartesian
0.000 0.000 1.899
0.000 1.899 0.000
1.794 0.000 0.000
1.794 1.899 1.899